(1)
Computed, not measured: a relaxed SrAlTl2 crystal at the GGA-PBEsol level of DFT.

It has space group I-4m2 (No. 119), with a = 4.737 Å, b = 4.737 Å, c = 9.643 Å, α = 90.00°, β = 90.00° and γ = 90.00°. The distinct sites, in fractional coordinates, are Sr at (0.000, 0.000, 0.000), Al at (0.000, 0.500, 0.750), Tl at (0.000, 0.000, 0.500) and Tl at (0.000, 0.500, 0.250).

As for the density of states at the Fermi level: 2.02 states/eV/f.u. For the formation energy, the calculation gives -107 meV per atom. The calculation puts the volume at 216.34 Å³/cell.

(2)
Computed, not measured: a relaxed Sr2AsBr crystal at the GGA-PBEsol level of DFT.

It has space group Fm-3m (No. 225), with a = 7.616 Å, b = 7.616 Å, c = 7.616 Å, α = 90.00°, β = 90.00° and γ = 90.00°. The distinct sites, in fractional coordinates, are Sr at (0.250, 0.250, 0.250), As at (0.000, 0.000, 0.000) and Br at (0.000, 0.000, 0.500).

The uncorrected formation energy is -1.429 eV per atom. The calculation puts the volume at 441.83 Å³/cell.

(3)
Computed, not measured: a relaxed SrMnMo crystal at the GGA-PBEsol level of DFT.

It has space group P3m1 (No. 156), with a = 3.2350 Å, b = 3.2350 Å, c = 6.8050 Å, α = 90.00°, β = 90.00° and γ = 120.00°. The distinct sites, in fractional coordinates, are Sr at (0.0000, 0.0000, 0.0000), Mn at (0.3333, 0.6667, 0.6204) and Mo at (0.6667, 0.3333, 0.4201).

As for the density of states at the Fermi level: 3.31 states/eV/f.u. For the formation energy, the calculation gives 981 meV per atom. The calculation puts the volume at 61.67 Å³/cell.

(4)
Computed, not measured: a relaxed P2RhCl crystal at the GGA-PBEsol level of DFT.

It has space group Cm (No. 8), with a = 6.749 Å, b = 3.247 Å, c = 6.230 Å, α = 90.00°, β = 102.07° and γ = 90.00°. The distinct sites, in fractional coordinates, are P at (0.000, 0.000, 0.000), P at (0.213, 0.500, 0.153), Rh at (0.275, 0.000, 0.815) and Cl at (0.013, 0.500, 0.559).

As for the density of states at the Fermi level: 0.61 states/eV/f.u. The value obtained for the energy above the most stable polymorph in this dataset is 35 kJ/mol of formula units. The uncorrected formation energy is -0.081 eV per atom. The calculation puts the volume at 133.48 Å³/cell.

(5)
Computed, not measured: a relaxed Ti2PC crystal at the GGA-PBEsol level of DFT.

It has space group I-42d (No. 122), with a = 5.206 Å, b = 5.206 Å, c = 9.485 Å, α = 90.00°, β = 90.00° and γ = 90.00°. The distinct sites, in fractional coordinates, are Ti at (0.185, 0.250, 0.125), P at (0.000, 0.000, 0.500) and C at (0.000, 0.000, 0.000).

As for the density of states at the Fermi level: 2.03 states/eV/f.u. For the formation energy, the calculation gives -350 meV per atom. The calculation puts the volume at 257.06 Å³/cell.

(6)
Computed, not measured: a relaxed IrRuCl2 crystal at the GGA-PBEsol level of DFT.

It has space group Imm2 (No. 44), with a = 2.837 Å, b = 3.952 Å, c = 12.274 Å, α = 90.00°, β = 90.00° and γ = 90.00°. The distinct sites, in fractional coordinates, are Ir at (0.000, 0.000, 0.000), Ru at (0.000, 0.500, 0.676), Cl at (0.000, 0.000, 0.457) and Cl at (0.000, 0.500, 0.218).

As for the density of states at the Fermi level: 4.84 states/eV/f.u. The value obtained for the energy above the most stable polymorph in this dataset is 67 kJ/mol of formula units. The uncorrected formation energy is 0.753 eV per atom. The calculation puts the volume at 137.57 Å³/cell.

(7)
Computed, not measured: a relaxed Ta3Fe crystal at the GGA-PBEsol level of DFT.

It has space group Immm (No. 71), with a = 3.168 Å, b = 4.479 Å, c = 8.883 Å, α = 90.00°, β = 90.00° and γ = 90.00°. The distinct sites, in fractional coordinates, are Ta at (0.000, 0.000, 0.000), Ta at (0.000, 0.500, 0.239) and Fe at (0.000, 0.000, 0.500).

As for the density of states at the Fermi level: 2.96 states/eV/f.u. For the formation energy, the calculation gives -20 meV per atom. The calculation puts the volume at 126.06 Å³/cell.

(8)
Computed, not measured: a relaxed La3WBr crystal at the GGA-PBEsol level of DFT.

It has space group Pm-3m (No. 221), with a = 5.474 Å, b = 5.474 Å, c = 5.474 Å, α = 90.00°, β = 90.00° and γ = 90.00°. The distinct sites, in fractional coordinates, are La at (0.000, 0.000, 0.500), W at (0.500, 0.500, 0.500) and Br at (0.000, 0.000, 0.000).

As for the density of states at the Fermi level: 7.13 states/eV/f.u. The uncorrected formation energy is 0.660 eV per atom. The calculation puts the volume at 164.02 Å³/cell.

(9)
Computed, not measured: a relaxed P2Rh crystal at the GGA-PBEsol level of DFT.

It has space group P2_1/c (No. 14), with a = 5.713 Å, b = 5.772 Å, c = 5.821 Å, α = 90.00°, β = 112.69° and γ = 90.00°. The distinct sites, in fractional coordinates, are P at (0.160, 0.122, 0.370), P at (0.334, 0.624, 0.689) and Rh at (0.272, 0.501, 0.291).

For the formation energy, the calculation gives -727 meV per atom. The calculation puts the volume at 177.11 Å³/cell.

(10)
Computed, not measured: a relaxed CaTlAu2 crystal at the GGA-PBEsol level of DFT.

It has space group Pm (No. 6), with a = 3.868 Å, b = 4.439 Å, c = 5.666 Å, α = 90.00°, β = 109.78° and γ = 90.00°. The distinct sites, in fractional coordinates, are Ca at (0.000, 0.000, 0.000), Tl at (0.706, 0.500, 0.407), Au at (0.276, 0.000, 0.551) and Au at (0.435, 0.500, 0.867).

As for the density of states at the Fermi level: 1.79 states/eV/f.u. For the formation energy, the calculation gives -440 meV per atom. The calculation puts the volume at 91.56 Å³/cell.

(11)
Computed, not measured: a relaxed CrGeSeBr2 crystal at the GGA-PBEsol level of DFT.

It has space group P4/mmm (No. 123), with a = 4.882 Å, b = 4.882 Å, c = 4.986 Å, α = 90.00°, β = 90.00° and γ = 90.00°. The distinct sites, in fractional coordinates, are Cr at (0.000, 0.000, 0.000), Ge at (0.500, 0.500, 0.500), Se at (0.000, 0.000, 0.500) and Br at (0.000, 0.500, 0.000).

As for the density of states at the Fermi level: 2.06 states/eV/f.u. The value obtained for the energy above the most stable polymorph in this dataset is 0 kJ/mol of formula units. The uncorrected formation energy is 0.045 eV per atom. The calculation puts the volume at 118.81 Å³/cell.

(12)
Computed, not measured: a relaxed LiInPt2 crystal at the GGA-PBEsol level of DFT.

It has space group P4/mmm (No. 123), with a = 4.018 Å, b = 4.018 Å, c = 3.780 Å, α = 90.00°, β = 90.00° and γ = 90.00°. The distinct sites, in fractional coordinates, are Li at (0.000, 0.000, 0.000), In at (0.500, 0.500, 0.000) and Pt at (0.000, 0.500, 0.500).

As for the density of states at the Fermi level: 1.25 states/eV/f.u. For the formation energy, the calculation gives -592 meV per atom. The calculation puts the volume at 61.02 Å³/cell.

(13)
Computed, not measured: a relaxed TiMoC2 crystal at the GGA-PBEsol level of DFT.

It has space group Fm-3m (No. 225), with a = 5.352 Å, b = 5.352 Å, c = 5.352 Å, α = 90.00°, β = 90.00° and γ = 90.00°. The distinct sites, in fractional coordinates, are Ti at (0.000, 0.000, 0.000), Mo at (0.000, 0.000, 0.500) and C at (0.250, 0.250, 0.250).

As for the density of states at the Fermi level: 2.33 states/eV/f.u. The value obtained for the energy above the most stable polymorph in this dataset is 320 kJ/mol of formula units. For the formation energy, the calculation gives 315 meV per atom. The calculation puts the volume at 153.33 Å³/cell.

(14)
Computed, not measured: a relaxed LaZrZn crystal at the GGA-PBEsol level of DFT.

It has space group P3m1 (No. 156), with a = 4.8976 Å, b = 4.8976 Å, c = 3.3662 Å, α = 90.00°, β = 90.00° and γ = 120.00°. The distinct sites, in fractional coordinates, are La at (0.0000, 0.0000, 0.0000), Zr at (0.6667, 0.3333, 0.5478) and Zn at (0.3333, 0.6667, 0.4469).

As for the density of states at the Fermi level: 3.16 states/eV/f.u. For the formation energy, the calculation gives 89 meV per atom. The calculation puts the volume at 69.93 Å³/cell.

(15)
Computed, not measured: a relaxed Y2Al crystal at the GGA-PBEsol level of DFT.

It has space group Cmcm (No. 63), with a = 3.647 Å, b = 16.323 Å, c = 5.115 Å, α = 90.00°, β = 90.00° and γ = 90.00°. The distinct sites, in fractional coordinates, are Y at (0.000, 0.080, 0.250), Y at (0.000, 0.224, 0.750) and Al at (0.000, 0.427, 0.250).

As for the density of states at the Fermi level: 2.46 states/eV/f.u. For the formation energy, the calculation gives -287 meV per atom. The calculation puts the volume at 304.52 Å³/cell.